[1]
Compound: PmHIF
Source: Alexandria
Functional: PBE
Structure: optimized geometry

a b c (Å): 4.0487 4.1116 11.2402
angles (deg): 90.00 90.00 90.00
Space group Imm2 (No. 44)
Asymmetric unit:
Pm: 0.0000 0.0000 0.0000 [2 per cell]
H: 0.0000 0.5000 0.4289 [2 per cell]
I: 0.0000 0.0000 0.6687 [2 per cell]
F: 0.0000 0.5000 0.9199 [2 per cell]

Output
Total DFT energy (no corrections) = -38.29 eV/cell
Magnetization = 0.00 μB/f.u.
Theoretical density = 5.18 g cm⁻³

[2]
Compound: PrHIF
Source: Alexandria
Functional: PBE
Structure: optimized geometry

a b c (Å): 4.1259 4.2064 11.1525
angles (deg): 90.00 90.00 90.00
Space group Imm2 (No. 44)
Asymmetric unit:
Pr: 0.0000 0.0000 0.0000 [2 per cell]
H: 0.0000 0.5000 0.4271 [2 per cell]
I: 0.0000 0.0000 0.6705 [2 per cell]
F: 0.0000 0.5000 0.9197 [2 per cell]

Output
Total DFT energy (no corrections) = -38.26 eV/cell
Magnetization = 0.00 μB/f.u.
Theoretical density = 4.94 g cm⁻³